PBE Y3PbO, optimized geometry; total magnetic moment = 0.00 μB per atom; N(E_F) = 6.70 states/eV/cell; space group = Cmcm (63); electronic total energy = -70.1 eV for the cell shown; crystal system = orthorhombic
1.0
3.3108 -5.6112 0.0000
3.3108 5.6112 0.0000
0.0000 0.0000 6.4978
Y Pb O
6 2 2
direct
0.2465 0.7535 0.7500
0.2552 0.2552 0.0000
0.2552 0.2552 0.5000
0.7448 0.7448 0.0000
0.7448 0.7448 0.5000
0.7535 0.2465 0.2500
0.2344 0.7656 0.2500
0.7656 0.2344 0.7500
0.4498 0.5502 0.7500
0.5502 0.4498 0.2500

=====

PBE Ta3AsP, optimized geometry; total magnetic moment = 0.00 μB per atom; N(E_F) = 7.02 states/eV/cell; space group = Pm-3m (221); ΔE_f = 568 meV/atom; crystal system = cubic
1.0
4.6040 0.0000 0.0000
0.0000 4.6040 0.0000
0.0000 0.0000 4.6040
Ta As P
3 1 1
direct
0.0000 0.0000 0.5000
0.0000 0.5000 0.0000
0.5000 0.0000 0.0000
0.5000 0.5000 0.5000
0.0000 0.0000 0.0000

=====

PBE SbSeSN2, optimized geometry; total magnetic moment = 0.40 μB per atom; N(E_F) = 3.68 states/eV/cell; space group = P4/mmm (123); electronic total energy = -21.4 eV for the cell shown; crystal system = tetragonal
1.0
3.9747 0.0000 0.0000
0.0000 3.9747 0.0000
0.0000 0.0000 5.5998
Sb Se S N
1 1 1 2
direct
0.0000 0.0000 0.0000
0.5000 0.5000 0.5000
0.0000 0.0000 0.5000
0.0000 0.5000 0.0000
0.5000 0.0000 0.0000

=====

PBE PmPrMgZn, optimized geometry; total magnetic moment = 0.00 μB per atom; N(E_F) = 13.85 states/eV/cell; space group = F-43m (216); ΔE_f = -182 meV/atom; crystal system = cubic
1.0
7.5567 0.0000 0.0000
0.0000 7.5567 0.0000
0.0000 0.0000 7.5567
Pm Pr Mg Zn
4 4 4 4
direct
0.0000 0.0000 0.0000
0.0000 0.5000 0.5000
0.5000 0.0000 0.5000
0.5000 0.5000 0.0000
0.0000 0.0000 0.5000
0.0000 0.5000 0.0000
0.5000 0.0000 0.0000
0.5000 0.5000 0.5000
0.2500 0.2500 0.2500
0.2500 0.7500 0.7500
0.7500 0.2500 0.7500
0.7500 0.7500 0.2500
0.2500 0.2500 0.7500
0.2500 0.7500 0.2500
0.7500 0.2500 0.2500
0.7500 0.7500 0.7500

=====

PBE RbFe3W, optimized geometry; total magnetic moment = 1.45 μB per atom; N(E_F) = 9.09 states/eV/cell; space group = Pm-3m (221); ΔE_f = 3065 meV/atom; crystal system = cubic
1.0
4.4593 0.0000 0.0000
0.0000 4.4593 0.0000
0.0000 0.0000 4.4593
Rb Fe W
1 3 1
direct
0.0000 0.0000 0.0000
0.0000 0.0000 0.5000
0.0000 0.5000 0.0000
0.5000 0.0000 0.0000
0.5000 0.5000 0.5000

=====

PBE La2SbOF, optimized geometry; total magnetic moment = 0.00 μB per atom; N(E_F) = 0.09 states/eV/cell; space group = I-4m2 (119); electronic total energy = -69.2 eV for the cell shown; crystal system = tetragonal
1.0
4.0975 0.0000 0.0000
0.0000 4.0975 0.0000
0.0000 0.0000 13.1868
La Sb O F
4 2 2 2
direct
0.0000 0.0000 0.1459
0.0000 0.0000 0.8541
0.5000 0.5000 0.3541
0.5000 0.5000 0.6459
0.0000 0.0000 0.5000
0.5000 0.5000 0.0000
0.0000 0.5000 0.2500
0.5000 0.0000 0.7500
0.0000 0.5000 0.7500
0.5000 0.0000 0.2500

=====

PBE GaAu3I, optimized geometry; total magnetic moment = 0.00 μB per atom; N(E_F) = 4.69 states/eV/cell; space group = Pm-3m (221); electronic total energy = -12.3 eV for the cell shown; crystal system = cubic
1.0
5.0170 0.0000 0.0000
0.0000 5.0170 0.0000
0.0000 0.0000 5.0170
Ga Au I
1 3 1
direct
0.0000 0.0000 0.0000
0.0000 0.0000 0.5000
0.0000 0.5000 0.0000
0.5000 0.0000 0.0000
0.5000 0.5000 0.5000

=====

PBE KSr2C, optimized geometry; total magnetic moment = 0.12 μB per atom; N(E_F) = 32.30 states/eV/cell; space group = I-42d (122); ΔE_f = 618 meV/atom; crystal system = tetragonal
1.0
8.3293 0.0000 0.0000
0.0000 8.3293 0.0000
0.0000 0.0000 11.0255
K Sr C
4 8 4
direct
0.0000 0.0000 0.0000
0.0000 0.5000 0.2500
0.5000 0.0000 0.7500
0.5000 0.5000 0.5000
0.0646 0.2500 0.6250
0.2500 0.5646 0.8750
0.2500 0.9354 0.3750
0.4354 0.2500 0.1250
0.5646 0.7500 0.1250
0.7500 0.0646 0.3750
0.7500 0.4354 0.8750
0.9354 0.7500 0.6250
0.0000 0.0000 0.5000
0.0000 0.5000 0.7500
0.5000 0.0000 0.2500
0.5000 0.5000 0.0000

=====

PBE Zr2ZnTe, optimized geometry; total magnetic moment = 0.00 μB per atom; N(E_F) = 6.30 states/eV/cell; space group = R3m (160); electronic total energy = -65.9 eV for the cell shown; crystal system = trigonal
1.0
3.5442 0.0000 0.0000
-1.7721 3.0693 0.0000
0.0000 0.0000 26.4434
Zr Zn Te
6 3 3
direct
0.0000 0.0000 0.0000
0.0000 0.0000 0.2446
0.3333 0.6667 0.6667
0.3333 0.6667 0.9113
0.6667 0.3333 0.3333
0.6667 0.3333 0.5780
0.0000 0.0000 0.4958
0.3333 0.6667 0.1625
0.6667 0.3333 0.8292
0.0000 0.0000 0.7448
0.3333 0.6667 0.4115
0.6667 0.3333 0.0782

=====

PBE Tm5Hf2Sc4, optimized geometry; total magnetic moment = 0.00 μB per atom; N(E_F) = 13.70 states/eV/cell; space group = Immm (71); ΔE_f = 250 meV/atom; crystal system = orthorhombic
1.0
-1.6531 4.2532 10.7327
1.6531 -4.2532 10.7327
1.6531 4.2532 -10.7327
Tm Hf Sc
5 2 4
direct
0.0000 0.0000 0.0000
0.0574 0.3463 0.7111
0.3648 0.6537 0.7111
0.6352 0.3463 0.2889
0.9426 0.6537 0.2889
0.2727 0.7727 0.5000
0.7273 0.2273 0.5000
0.3149 0.5000 0.8149
0.4042 0.9042 0.5000
0.5958 0.0958 0.5000
0.6851 0.5000 0.1851

=====

PBE Al2InGa8, optimized geometry; total magnetic moment = 0.00 μB per atom; N(E_F) = 2.74 states/eV/cell; space group = C2/m (12); ΔE_f = 62 meV/atom; crystal system = monoclinic
1.0
4.2242 -5.1351 0.0000
4.2242 5.1351 0.0000
-2.5187 0.0000 5.0949
Al In Ga
2 1 8
direct
0.1382 0.8618 0.0000
0.8618 0.1382 0.0000
0.5000 0.5000 0.5000
0.1565 0.1565 0.4482
0.1843 0.4512 0.9422
0.2200 0.7800 0.5000
0.4512 0.1843 0.9422
0.5488 0.8157 0.0578
0.7800 0.2200 0.5000
0.8157 0.5488 0.0578
0.8435 0.8435 0.5518

=====

PBE PaSnPtAu, optimized geometry; total magnetic moment = 0.00 μB per atom; N(E_F) = 7.82 states/eV/cell; space group = F-43m (216); ΔE_f = -616 meV/atom; crystal system = cubic
1.0
6.9747 0.0000 0.0000
0.0000 6.9747 0.0000
0.0000 0.0000 6.9747
Pa Sn Pt Au
4 4 4 4
direct
0.0000 0.0000 0.0000
0.0000 0.5000 0.5000
0.5000 0.0000 0.5000
0.5000 0.5000 0.0000
0.0000 0.0000 0.5000
0.0000 0.5000 0.0000
0.5000 0.0000 0.0000
0.5000 0.5000 0.5000
0.2500 0.2500 0.7500
0.2500 0.7500 0.2500
0.7500 0.2500 0.2500
0.7500 0.7500 0.7500
0.2500 0.2500 0.2500
0.2500 0.7500 0.7500
0.7500 0.2500 0.7500
0.7500 0.7500 0.2500

=====

Question: Which value of total magnetic moment does entry 12 give?
Answer: 0.00 μB per atom

=====

Question: What is the formula in the first record?
Answer: Y3PbO

=====

Question: Look up the N(E_F) of the sixth one.
Answer: 0.09 states/eV/cell